11
Lattice="0.5519 3.7701 -5.9665 -0.1814 -5.9045 -3.7504 -6.9290 -0.6183 1.3130" Properties=species:S:1:pos:R:3 comment="Th7Sn2Os2 PBE optimized geometry" formation_enthalpy_0k_ev_per_atom=-0.2121 volume_a3_per_cell=337 pbc="T T T"
Th 0.0000 0.0000 0.0000
Th -3.3247 -2.9090 -5.1778
Th -3.5963 -4.6778 -2.1208
Th -2.9623 1.9250 -6.2832
Th -6.7857 -3.1015 -4.4481
Th 0.2271 0.3488 -3.9558
Th -3.2339 0.1563 -3.2262
Sn -1.1866 -2.4107 -2.6749
Sn -5.3720 -0.3421 -5.7291
Os -4.9082 0.5670 -0.6535
Os -1.6504 -3.3197 -7.7504